## KSr2Ca (PBE-GGA)

Data for crystalline KSr2Ca at its relaxed geometry.

Lattice parameters (Å, degrees): 4.129 4.129 12.786 90.00 90.00 90.00
Space group P4mm (No. 99)
Inequivalent atoms, fractional coordinates:
K1 0.000 0.000 0.000
Sr1 0.000 0.000 0.521
Sr2 0.500 0.500 0.277
Ca1 0.500 0.500 0.744

energy of formation from the pure elements = 0.08 eV/atom
electronic total energy = -1.537 eV/atom
offset from the most stable computed form = 1.3 kJ per mole of atoms